[1]
{
  "formula": "CeThMnN3",
  "functional": "PBE-GGA",
  "state": "relaxed",
  "cell": [[-0.431, 3.068, -1.454], [-7.526, -0.612, 0.939], [1.483, 3.122, 6.149]],
  "species": ["Ce", "Ce", "Th", "Th", "Mn", "Mn", "N", "N", "N", "N", "N", "N"],
  "frac_coords": [[0.750, 0.837, 0.810], [0.250, 0.163, 0.190], [0.250, 0.641, 0.197], [0.750, 0.359, 0.803], [0.250, 0.080, 0.571], [0.750, 0.920, 0.429], [0.250, 0.832, 0.539], [0.750, 0.877, 0.153], [0.750, 0.404, 0.141], [0.750, 0.168, 0.461], [0.250, 0.596, 0.859], [0.250, 0.123, 0.847]],
  "mass_density_kg_m3": 8562,
  "m_tot_mub_per_atom": 0.000,
  "space_group": "No. 11",
  "formation_energy_uncorrected_kj_per_mol_atoms": -108.47
}

---

[2]
{
  "formula": "Ce2ThMnN5",
  "functional": "PBE-GGA",
  "state": "relaxed",
  "cell": [[6.555, 0.000, 0.000], [0.000, 6.555, 0.000], [-3.277, -3.277, 5.606]],
  "species": ["Ce", "Ce", "Ce", "Ce", "Th", "Th", "Mn", "Mn", "N", "N", "N", "N", "N", "N", "N", "N", "N", "N"],
  "frac_coords": [[0.170, 0.330, 0.000], [0.670, 0.170, 0.000], [0.330, 0.830, 0.000], [0.830, 0.670, 0.000], [0.250, 0.250, 0.500], [0.750, 0.750, 0.500], [0.250, 0.750, 0.500], [0.750, 0.250, 0.500], [0.998, 0.498, 0.292], [0.705, 0.205, 0.708], [0.002, 0.502, 0.708], [0.205, 0.002, 0.708], [0.502, 0.705, 0.708], [0.795, 0.998, 0.292], [0.498, 0.295, 0.292], [0.295, 0.795, 0.292], [0.500, 0.500, 0.000], [0.000, 0.000, 0.000]],
  "mass_density_kg_m3": 8786,
  "m_tot_mub_per_atom": 0.216,
  "space_group": "No. 140",
  "formation_energy_uncorrected_kj_per_mol_atoms": -117.22
}

---

[3]
{
  "formula": "CeThMnN4",
  "functional": "PBE-GGA",
  "state": "relaxed",
  "cell": [[-2.495, 2.663, -0.770], [-1.282, -0.190, 3.497], [6.016, 3.136, 0.387]],
  "species": ["Ce", "Th", "Mn", "N", "N", "N", "N"],
  "frac_coords": [[0.360, 0.360, 0.720], [0.643, 0.643, 0.287], [0.993, 0.993, 0.986], [0.998, 0.498, 0.997], [0.498, 0.998, 0.997], [0.829, 0.829, 0.658], [0.178, 0.178, 0.356]],
  "mass_density_kg_m3": 9208,
  "m_tot_mub_per_atom": 0.076,
  "space_group": "No. 107",
  "formation_energy_uncorrected_kj_per_mol_atoms": -108.14
}

---

[4]
{
  "formula": "CeTh2MnN4",
  "functional": "PBE-GGA",
  "state": "relaxed",
  "cell": [[3.558, 0.000, 0.000], [-1.779, 5.880, 0.000], [0.000, 0.000, 12.081]],
  "species": ["Ce", "Ce", "Th", "Th", "Th", "Th", "Mn", "Mn", "N", "N", "N", "N", "N", "N", "N", "N"],
  "frac_coords": [[0.100, 0.200, 0.750], [0.900, 0.800, 0.250], [0.369, 0.737, 0.556], [0.631, 0.263, 0.056], [0.631, 0.263, 0.444], [0.369, 0.737, 0.944], [0.831, 0.662, 0.750], [0.169, 0.338, 0.250], [0.273, 0.546, 0.124], [0.727, 0.454, 0.624], [0.727, 0.454, 0.876], [0.273, 0.546, 0.376], [0.000, 0.000, 0.500], [0.000, 0.000, 0.000], [0.450, 0.899, 0.750], [0.550, 0.101, 0.250]],
  "mass_density_kg_m3": 9396,
  "m_tot_mub_per_atom": 0.385,
  "space_group": "No. 63",
  "formation_energy_uncorrected_kj_per_mol_atoms": -114.16
}

---

[5]
{
  "formula": "Ce2ThMnN4",
  "functional": "PBE-GGA",
  "state": "relaxed",
  "cell": [[-3.057, -1.494, 0.526], [4.199, -3.999, 1.775], [-0.321, 4.487, 10.870]],
  "species": ["Ce", "Ce", "Ce", "Ce", "Th", "Th", "Mn", "Mn", "N", "N", "N", "N", "N", "N", "N", "N"],
  "frac_coords": [[0.368, 0.735, 0.554], [0.632, 0.265, 0.054], [0.632, 0.265, 0.446], [0.368, 0.735, 0.946], [0.107, 0.213, 0.750], [0.893, 0.787, 0.250], [0.843, 0.685, 0.750], [0.157, 0.315, 0.250], [0.275, 0.551, 0.131], [0.725, 0.449, 0.631], [0.725, 0.449, 0.869], [0.275, 0.551, 0.369], [0.000, 0.000, 0.500], [0.000, 0.000, 0.000], [0.445, 0.890, 0.750], [0.555, 0.110, 0.250]],
  "mass_density_kg_m3": 8786,
  "m_tot_mub_per_atom": 0.290,
  "space_group": "No. 63",
  "formation_energy_uncorrected_kj_per_mol_atoms": -116.18
}

---

[6]
{
  "formula": "Ce2TiMnN5",
  "functional": "PBE-GGA",
  "state": "relaxed",
  "cell": [[-1.586, -2.579, 1.198], [2.711, -2.373, -5.946], [8.176, -2.783, 4.838]],
  "species": ["Ce", "Ce", "Ce", "Ce", "Ti", "Ti", "Mn", "Mn", "N", "N", "N", "N", "N", "N", "N", "N", "N", "N"],
  "frac_coords": [[0.863, 0.725, 0.817], [0.120, 0.239, 0.689], [0.137, 0.275, 0.317], [0.880, 0.761, 0.189], [0.796, 0.591, 0.516], [0.204, 0.409, 0.016], [0.549, 0.097, 0.950], [0.451, 0.903, 0.450], [0.346, 0.692, 0.004], [0.680, 0.361, 0.877], [0.499, 0.998, 0.784], [0.295, 0.589, 0.660], [0.962, 0.924, 0.527], [0.654, 0.308, 0.504], [0.320, 0.639, 0.377], [0.501, 0.002, 0.284], [0.705, 0.411, 0.160], [0.038, 0.076, 0.027]],
  "mass_density_kg_m3": 6907,
  "m_tot_mub_per_atom": 0.000,
  "space_group": "No. 36",
  "formation_energy_uncorrected_kj_per_mol_atoms": -111.26
}

---

[7]
{
  "formula": "CeTi2MnN4",
  "functional": "PBE-GGA",
  "state": "relaxed",
  "cell": [[3.145, 0.000, 0.000], [-1.572, 5.368, 0.000], [0.000, 0.000, 10.463]],
  "species": ["Ce", "Ce", "Ti", "Ti", "Ti", "Ti", "Mn", "Mn", "N", "N", "N", "N", "N", "N", "N", "N"],
  "frac_coords": [[0.099, 0.199, 0.750], [0.901, 0.801, 0.250], [0.370, 0.739, 0.545], [0.630, 0.261, 0.045], [0.630, 0.261, 0.455], [0.370, 0.739, 0.955], [0.839, 0.678, 0.750], [0.161, 0.322, 0.250], [0.268, 0.536, 0.113], [0.732, 0.464, 0.613], [0.732, 0.464, 0.887], [0.268, 0.536, 0.387], [0.000, 0.000, 0.500], [0.000, 0.000, 0.000], [0.431, 0.861, 0.750], [0.569, 0.139, 0.250]],
  "mass_density_kg_m3": 6522,
  "m_tot_mub_per_atom": 0.000,
  "space_group": "No. 63",
  "formation_energy_uncorrected_kj_per_mol_atoms": -123.65
}

---

[8]
{
  "formula": "CeU2MnN5",
  "functional": "PBE-GGA",
  "state": "relaxed",
  "cell": [[5.549, 0.000, 0.000], [0.000, 6.425, 0.000], [0.000, 0.000, 6.425]],
  "species": ["Ce", "Ce", "U", "U", "U", "U", "Mn", "Mn", "N", "N", "N", "N", "N", "N", "N", "N", "N", "N"],
  "frac_coords": [[0.000, 0.500, 0.500], [0.000, 0.000, 0.000], [0.500, 0.670, 0.170], [0.500, 0.170, 0.330], [0.500, 0.830, 0.670], [0.500, 0.330, 0.830], [0.000, 0.000, 0.500], [0.000, 0.500, 0.000], [0.500, 0.500, 0.500], [0.500, 0.000, 0.000], [0.240, 0.152, 0.652], [0.240, 0.848, 0.348], [0.240, 0.348, 0.152], [0.240, 0.652, 0.848], [0.760, 0.152, 0.652], [0.760, 0.652, 0.848], [0.760, 0.848, 0.348], [0.760, 0.348, 0.152]],
  "mass_density_kg_m3": 10747,
  "m_tot_mub_per_atom": 0.004,
  "space_group": "No. 127",
  "formation_energy_uncorrected_kj_per_mol_atoms": -112.63
}

---

[9]
{
  "formula": "CeMnV2N4",
  "functional": "PBE-GGA",
  "state": "relaxed",
  "cell": [[3.206, 0.000, 0.000], [-1.603, 5.333, 0.000], [0.000, 0.000, 10.057]],
  "species": ["Ce", "Ce", "Mn", "Mn", "V", "V", "V", "V", "N", "N", "N", "N", "N", "N", "N", "N"],
  "frac_coords": [[0.092, 0.183, 0.750], [0.908, 0.817, 0.250], [0.828, 0.656, 0.750], [0.172, 0.344, 0.250], [0.384, 0.767, 0.540], [0.616, 0.233, 0.040], [0.616, 0.233, 0.460], [0.384, 0.767, 0.960], [0.282, 0.563, 0.111], [0.718, 0.437, 0.611], [0.718, 0.437, 0.889], [0.282, 0.563, 0.389], [0.000, 0.000, 0.500], [0.000, 0.000, 0.000], [0.423, 0.847, 0.750], [0.577, 0.153, 0.250]],
  "mass_density_kg_m3": 6818,
  "m_tot_mub_per_atom": 0.206,
  "space_group": "No. 63",
  "formation_energy_uncorrected_kj_per_mol_atoms": -86.28
}